Record 1
## BC (PBE)

Data for a relaxed structure of BC.

The structure in extended XYZ format:
```
12
Lattice="-3.054 -3.027 -4.246 -2.090 -4.925 -2.809 -3.857 0.928 3.815" Properties=species:S:1:pos:R:3 pbc="T T T"
C -7.298 -6.599 -3.822
C -2.336 -2.519 -1.761
C -3.135 -4.640 -4.028
C -6.747 -4.558 -1.494
C -5.441 -7.074 -5.695
C -4.746 -1.166 1.644
B -5.314 -4.223 -2.014
B -6.906 -7.400 -5.143
B -4.512 -2.064 0.302
B -4.531 -4.894 -3.426
B -8.943 -6.979 -3.220
B -2.775 -1.723 -0.413
```

Results
space-group type	No. 8
crystal system	monoclinic


Record 2
## BC (PBE)

Data for a relaxed structure of BC.

The structure in extended XYZ format:
```
12
Lattice="2.640 0.000 0.000 -1.320 2.286 0.000 0.000 0.000 14.793" Properties=species:S:1:pos:R:3 pbc="T T T"
C 0.000 0.000 0.139
C 1.320 0.762 4.520
C 0.000 1.524 2.188
C 0.000 1.524 9.899
C 0.000 1.524 8.349
C 0.000 1.524 0.685
B 1.320 0.762 12.276
B 0.000 0.000 4.673
B 1.320 0.762 2.847
B 1.320 0.762 10.585
B 0.000 0.000 8.143
B 0.000 0.000 13.363
```

Results
space-group type	No. 156
crystal system	trigonal


Record 3
## BC (PBE)

Data for a relaxed structure of BC.

The structure in extended XYZ format:
```
12
Lattice="-1.829 -0.234 1.844 2.970 -2.036 2.688 1.916 6.119 2.678" Properties=species:S:1:pos:R:3 pbc="T T T"
B 3.346 -0.706 3.231
B 0.673 -0.936 2.393
B 2.200 0.376 4.076
B 1.846 1.438 2.014
B 3.734 4.101 4.226
B 1.119 5.076 3.599
C 1.001 0.479 2.899
C 0.842 3.573 3.133
C 2.123 2.941 2.480
C 2.683 1.778 4.732
C 1.964 6.035 2.715
C 3.251 2.699 3.569
```

Results
space-group type	No. 11
crystal system	monoclinic


Record 4
## B7C5 (PBE)

Data for a relaxed structure of B7C5.

The structure in extended XYZ format:
```
12
Lattice="-4.475 1.113 1.241 -3.063 -1.812 3.037 3.478 3.069 2.984" Properties=species:S:1:pos:R:3 pbc="T T T"
B -0.229 1.876 3.390
B -2.410 -0.024 3.471
B -4.085 0.438 3.852
B -1.111 1.168 4.672
B -4.223 1.140 1.429
B -1.875 0.323 1.682
B -3.163 1.918 4.144
C -1.532 1.707 2.398
C 0.364 3.332 3.620
C -2.707 2.572 2.760
C -5.104 0.477 2.602
C -2.144 2.139 5.367
```

Results
space-group type	No. 1
crystal system	triclinic


Record 5
## B7C5 (PBE)

Data for a relaxed structure of B7C5.

The structure in extended XYZ format:
```
12
Lattice="2.616 0.000 0.000 0.000 4.815 0.182 0.000 0.278 8.173" Properties=species:S:1:pos:R:3 pbc="T T T"
B 1.308 4.007 3.030
B 0.000 0.142 0.199
B 0.000 0.166 2.054
B 1.308 1.218 0.210
B 1.308 2.380 2.207
B 1.308 0.682 4.541
B 0.000 3.121 4.684
C 0.000 1.558 4.337
C 0.000 1.647 2.778
C 1.308 3.939 4.647
C 1.308 2.728 0.485
C 0.000 3.461 0.345
```

Results
space-group type	No. 6
crystal system	monoclinic


Record 6
## BC (PBE)

Data for a relaxed structure of BC.

The structure in extended XYZ format:
```
16
Lattice="-4.400 -1.055 -4.811 0.685 -6.519 0.802 -2.046 0.015 1.868" Properties=species:S:1:pos:R:3 pbc="T T T"
B -4.527 -2.912 -2.881
B -1.234 -4.648 0.740
B -2.285 -1.332 -0.438
B -0.961 -5.651 -1.008
B -3.120 -5.127 -3.376
B -0.595 -2.447 -0.632
B -2.753 -1.923 -3.000
B -3.476 -6.227 -1.702
C -4.570 -5.686 -2.905
C -0.590 -4.025 -0.615
C -1.191 -1.873 0.765
C -1.690 -1.907 -1.835
C -3.124 -3.549 -3.394
C -2.025 -5.668 -2.173
C -4.156 -1.285 -2.487
C -1.605 -6.274 0.347
```

Results
space-group type	No. 87
crystal system	tetragonal


Record 7
## B7C5 (PBE)

Data for a relaxed structure of B7C5.

The structure in extended XYZ format:
```
12
Lattice="-0.687 -4.093 -1.471 -0.126 -4.288 0.992 -6.766 5.531 1.979" Properties=species:S:1:pos:R:3 pbc="T T T"
B -1.447 -1.636 0.200
B -0.927 -6.726 -0.322
B -6.707 5.150 1.935
B -2.957 -3.360 0.407
B -1.527 0.137 0.359
B -4.803 0.698 1.149
B -5.925 -1.234 1.251
C -6.487 0.261 1.497
C -4.354 -4.028 0.672
C -4.810 2.310 1.278
C -3.035 -1.772 0.550
C -4.189 -5.518 0.516
```

Results
space-group type	No. 8
crystal system	monoclinic


Record 8
## BC (PBE)

Data for a relaxed structure of BC.

The structure in extended XYZ format:
```
12
Lattice="2.681 0.000 0.000 -1.341 2.322 0.000 0.000 0.000 12.980" Properties=species:S:1:pos:R:3 pbc="T T T"
C 1.341 0.774 9.112
C 0.000 1.548 2.064
C 0.000 0.000 11.457
C 1.341 0.774 4.409
C 0.000 0.000 12.969
C 0.000 1.548 0.552
B 0.000 0.000 6.330
B 0.000 1.548 7.191
B 0.000 1.548 8.973
B 1.341 0.774 10.940
B 0.000 0.000 4.548
B 1.341 0.774 2.581
```

Results
space-group type	No. 164
crystal system	trigonal


Record 9
## BC (PBE)

Data for a relaxed structure of BC.

The structure in extended XYZ format:
```
12
Lattice="3.169 -1.910 -5.782 6.647 -3.201 -1.675 -6.981 1.016 2.733" Properties=species:S:1:pos:R:3 pbc="T T T"
C 3.538 -2.484 -1.177
C -1.215 -1.012 0.365
C -0.727 -2.198 -1.930
C 0.247 -1.131 -2.257
C 6.441 -3.150 -1.636
C -2.434 -0.407 1.230
B 1.424 -1.759 -3.184
B -1.904 -1.569 -1.003
B 3.679 -3.668 -3.576
B 2.488 -2.861 -2.286
B 5.438 -3.737 -6.001
B 1.062 -0.607 -0.919
```

Results
space-group type	No. 12
crystal system	monoclinic


Record 10
## B7C5 (PBE)

Data for a relaxed structure of B7C5.

The structure in extended XYZ format:
```
12
Lattice="2.712 0.000 0.000 0.000 4.864 -0.187 0.000 -0.159 7.906" Properties=species:S:1:pos:R:3 pbc="T T T"
C 1.356 1.040 5.504
C 0.000 4.675 1.431
C 0.000 2.789 7.080
C 1.356 2.230 1.460
C 1.356 4.407 5.292
B 0.000 3.800 5.741
B 0.000 1.716 5.825
B 1.356 2.325 7.772
B 1.356 0.255 6.957
B 1.356 3.850 1.593
B 0.000 1.404 1.639
B 0.000 4.366 7.693
```

Results
space-group type	No. 6
crystal system	monoclinic


Record 11
## BC (PBE)

Data for a relaxed structure of BC.

The structure in extended XYZ format:
```
10
Lattice="-0.731 0.575 -4.607 0.161 -1.959 -4.269 -5.349 -1.499 2.866" Properties=species:S:1:pos:R:3 pbc="T T T"
B -4.001 -1.321 0.644
B -3.431 -1.433 -1.697
B -5.812 -2.780 -5.519
B -2.483 -1.444 -4.279
B -0.642 -0.547 -2.408
C -3.821 -1.781 -3.279
C -1.674 -1.483 -6.704
C -1.364 -0.417 0.471
C -2.868 -1.789 -5.852
C -4.839 -1.796 -0.708
```

Results
space-group type	No. 8
crystal system	monoclinic


Record 12
## BC (PBE)

Data for a relaxed structure of BC.

The structure in extended XYZ format:
```
12
Lattice="4.667 0.000 -0.643 -2.587 4.015 -0.944 0.101 -0.189 4.502" Properties=species:S:1:pos:R:3 pbc="T T T"
C 3.244 0.031 0.061
C 0.734 1.453 0.011
C 1.862 3.554 1.397
C 0.081 2.597 -0.838
C 2.454 1.333 2.355
C 0.074 -0.119 4.447
B -1.612 2.902 1.250
B -1.693 2.794 -0.490
B 3.418 0.329 1.595
B 2.234 1.130 -0.596
B 1.340 2.008 1.394
B -0.735 2.169 2.467
```

Results
space-group type	No. 1
crystal system	triclinic


| no. | total DFT energy (no corrections) (eV/atom) |
| --- | --- |
| 1 | -7.51 |
| 2 | -7.57 |
| 3 | -7.58 |
| 4 | -7.33 |
| 5 | -7.36 |
| 6 | -7.33 |
| 7 | -7.35 |
| 8 | -7.46 |
| 9 | -7.59 |
| 10 | -7.44 |
| 11 | -7.60 |
| 12 | -7.57 |